Entry 1:
# Tl2PtBr

A relaxed structure of Tl2PtBr (PBE-GGA, Alexandria).

The structure in POSCAR format:
```
Tl2PtBr
1.0
3.888 -3.872 0.000
3.888 3.872 0.000
-0.025 0.000 3.296
Tl Pt Br
2 1 1
direct
0.000 0.500 0.000
0.500 0.000 0.000
0.000 0.000 0.500
0.500 0.500 0.500
```

## Properties
E_form (uncorrected): -66 meV/atom
relative energy among the computed polymorphs: 15.9 kJ per mole of atoms
energy: -3.177 eV per atom
M_tot: 0.00 μB per cell
calculated volume: 99.22 Å³/cell



Entry 2:
# Te5As

A relaxed structure of Te5As (PBE-GGA, Alexandria).

The structure in POSCAR format:
```
Te5As
1.0
6.089 0.000 0.000
-3.044 5.273 0.000
0.000 0.000 5.865
Te As
5 1
direct
0.000 0.500 0.000
0.333 0.667 0.500
0.500 0.000 0.000
0.500 0.500 0.000
0.667 0.333 0.500
0.000 0.000 0.500
```

## Properties
E_form (uncorrected): 641 meV/atom
relative energy among the computed polymorphs: 57.2 kJ per mole of atoms
energy: -2.752 eV per atom
M_tot: 1.16 μB per cell
calculated volume: 188.28 Å³/cell



Entry 3:
# TbHfSbO6

A relaxed structure of TbHfSbO6 (PBE-GGA, Alexandria).

The structure in POSCAR format:
```
TbHfSbO6
1.0
5.381 0.000 0.000
-2.690 4.660 0.000
0.000 0.000 9.791
Tb Hf Sb O
2 2 2 12
direct
0.000 0.000 0.000
0.000 0.000 0.500
0.333 0.667 0.250
0.667 0.333 0.750
0.333 0.667 0.750
0.667 0.333 0.250
0.011 0.362 0.637
0.011 0.649 0.863
0.351 0.362 0.863
0.351 0.989 0.637
0.362 0.011 0.137
0.362 0.351 0.363
0.638 0.649 0.637
0.638 0.989 0.863
0.649 0.011 0.363
0.649 0.638 0.137
0.989 0.351 0.137
0.989 0.638 0.363
```

## Properties
E_form (uncorrected): -2732 meV/atom
energy: -8.116 eV per atom
M_tot: 0.00 μB per cell
calculated volume: 245.49 Å³/cell